1.
# CrGe2Pt | the Alexandria database | PBE | relaxed
# ΔE_f: 0.1118 eV per atom
# Excess energy over the best structure of this formula in the dataset: 0.058 eV/atom
data_CrGe2Pt
_space_group_name_H-M_alt 'I -4 2 d'
_space_group_IT_number 122
_space_group_name_Hall 'I -4 2bw'
_cell_length_a 7.073
_cell_length_b 7.073
_cell_length_c 5.568
_cell_angle_alpha 90.00
_cell_angle_beta 90.00
_cell_angle_gamma 90.00
loop_
_atom_site_label
_atom_site_fract_x
_atom_site_fract_y
_atom_site_fract_z
_atom_site_occupancy
Cr1 0.000 0.000 0.000 1
Ge1 0.234 0.750 0.625 1
Pt1 0.000 0.000 0.500 1

***

2.
# ZrSc2OsO | the Alexandria database | PBE | relaxed
# Formation energy without anion corrections: -607 kJ/mol of formula units
data_ZrSc2OsO
_space_group_name_H-M_alt 'P 4/m m m'
_space_group_IT_number 123
_space_group_name_Hall '-P 4 2'
_cell_length_a 4.226
_cell_length_b 4.226
_cell_length_c 4.581
_cell_angle_alpha 90.00
_cell_angle_beta 90.00
_cell_angle_gamma 90.00
loop_
_atom_site_label
_atom_site_fract_x
_atom_site_fract_y
_atom_site_fract_z
_atom_site_occupancy
Zr1 0.000 0.000 0.000 1
Sc1 0.000 0.500 0.500 1
Os1 0.500 0.500 0.000 1
O1 0.000 0.000 0.500 1

***

3.
# CeErZnHg | the Alexandria database | PBE | relaxed
# ΔE_f: -0.2900 eV per atom
data_CeErZnHg
_space_group_name_H-M_alt 'F -4 3 m'
_space_group_IT_number 216
_space_group_name_Hall 'F -4 2 3'
_cell_length_a 7.379
_cell_length_b 7.379
_cell_length_c 7.379
_cell_angle_alpha 90.00
_cell_angle_beta 90.00
_cell_angle_gamma 90.00
loop_
_atom_site_label
_atom_site_fract_x
_atom_site_fract_y
_atom_site_fract_z
_atom_site_occupancy
Ce1 0.000 0.000 0.000 1
Er1 0.000 0.000 0.500 1
Zn1 0.250 0.250 0.750 1
Hg1 0.250 0.250 0.250 1

***

4.
# Sn4As3Se | the Alexandria database | PBE | relaxed
# Formation energy without anion corrections: -100 kJ/mol of formula units
data_Sn4As3Se
_space_group_name_H-M_alt 'C 1 2/m 1'
_space_group_IT_number 12
_space_group_name_Hall '-C 2y'
_cell_length_a 11.753
_cell_length_b 8.251
_cell_length_c 4.138
_cell_angle_alpha 90.00
_cell_angle_beta 90.53
_cell_angle_gamma 90.00
loop_
_atom_site_label
_atom_site_fract_x
_atom_site_fract_y
_atom_site_fract_z
_atom_site_occupancy
Sn1 0.000 0.242 0.000 1
Sn2 0.244 0.000 0.500 1
As1 0.000 0.000 0.500 1
As2 0.250 0.250 0.000 1
Se1 0.000 0.500 0.500 1

***

5.
# PmCdSn2Pd5 | the Alexandria database | PBE | relaxed
# ΔE_f: -0.4477 eV per atom
data_PmCdSn2Pd5
_space_group_name_H-M_alt 'P 4/m m m'
_space_group_IT_number 123
_space_group_name_Hall '-P 4 2'
_cell_length_a 4.221
_cell_length_b 4.221
_cell_length_c 10.256
_cell_angle_alpha 90.00
_cell_angle_beta 90.00
_cell_angle_gamma 90.00
loop_
_atom_site_label
_atom_site_fract_x
_atom_site_fract_y
_atom_site_fract_z
_atom_site_occupancy
Pm1 0.000 0.000 0.000 1
Cd1 0.000 0.000 0.500 1
Sn1 0.500 0.500 0.363 1
Pd1 0.000 0.500 0.203 1
Pd2 0.500 0.500 0.000 1

***

6.
# InPd7Pt4 | the Alexandria database | PBE | relaxed
# ΔE_f: 0.1133 eV per atom
data_InPd7Pt4
_space_group_name_H-M_alt 'C 1 2/m 1'
_space_group_IT_number 12
_space_group_name_Hall '-C 2y'
_cell_length_a 10.044
_cell_length_b 4.903
_cell_length_c 9.716
_cell_angle_alpha 90.00
_cell_angle_beta 120.07
_cell_angle_gamma 90.00
loop_
_atom_site_label
_atom_site_fract_x
_atom_site_fract_y
_atom_site_fract_z
_atom_site_occupancy
In1 0.000 0.000 0.000 1
Pd1 0.000 0.500 0.000 1
Pd2 0.109 0.000 0.449 1
Pd3 0.152 0.500 0.620 1
Pd4 0.215 0.500 0.919 1
Pt1 0.088 0.500 0.314 1
Pt2 0.194 0.000 0.768 1

***

7.
# Y2RuBr | the Alexandria database | PBE | relaxed
# Formation energy without anion corrections: -282 kJ/mol of formula units
# Excess energy over the best structure of this formula in the dataset: 0.064 eV/atom
data_Y2RuBr
_space_group_name_H-M_alt 'C 1 2/m 1'
_space_group_IT_number 12
_space_group_name_Hall '-C 2y'
_cell_length_a 6.911
_cell_length_b 3.982
_cell_length_c 7.990
_cell_angle_alpha 90.00
_cell_angle_beta 106.72
_cell_angle_gamma 90.00
loop_
_atom_site_label
_atom_site_fract_x
_atom_site_fract_y
_atom_site_fract_z
_atom_site_occupancy
Y1 0.232 0.000 0.195 1
Ru1 0.000 0.500 0.000 1
Br1 0.000 0.000 0.500 1

***

no.,density of states at the Fermi level (states/eV/atom)
1,0.5663
2,0.6949
3,2.4923
4,0.5335
5,0.3058
6,1.2532
7,0.6318